Below is ScFe3O after structural relaxation, with properties calculated at the GGA+U level.

a b c (Å): 4.6768 4.6768 4.6768
angles (deg): 90.00 90.00 90.00
Sites, in units of the cell vectors:
Sc: 0.0000 0.0000 0.0000
Fe: 0.0000 0.0000 0.5000
Fe: 0.0000 0.5000 0.0000
Fe: 0.5000 0.0000 0.0000
O: 0.5000 0.5000 0.5000

offset from the most stable computed form = 2191 meV per atom
density of states at the Fermi level = 1.258 states/eV per atom
E = -3.4139 eV per atom
density = 3.709 Mg/m³
calculated volume = 102.29 Å³/f.u.